1.
{"formula": "Cs3FeAu", "functional": "PBE", "state": "optimized geometry", "cell": [[6.909, 0.000, 0.000], [0.000, 6.909, 0.000], [0.000, 0.000, 6.909]], "species": ["Cs", "Cs", "Cs", "Fe", "Au"], "frac_coords": [[0.000, 0.000, 0.500], [0.000, 0.500, 0.000], [0.500, 0.000, 0.000], [0.500, 0.500, 0.500], [0.000, 0.000, 0.000]], "magnetic_moment_mub_per_atom": 0.434, "e_above_lowest_polymorph_ev_per_fu": 0.00, "delta_e_f_ev_per_atom": 0.62}


2.
{"formula": "La2PbCl2", "functional": "PBE", "state": "optimized geometry", "cell": [[2.266, 1.308, 10.108], [-2.266, 1.308, 10.108], [0.000, -2.617, 10.108]], "species": ["La", "La", "Pb", "Cl", "Cl"], "frac_coords": [[0.104, 0.104, 0.104], [0.896, 0.896, 0.896], [0.500, 0.500, 0.500], [0.277, 0.277, 0.277], [0.723, 0.723, 0.723]], "formation_energy_uncorrected_ev_per_atom": -1.54, "magnetic_moment_mub_per_atom": 0.000}


3.
{"formula": "Be2RuPb", "functional": "PBE", "state": "optimized geometry", "cell": [[3.976, -1.729, 0.000], [3.976, 1.729, 0.000], [-1.115, 0.000, 4.446]], "species": ["Be", "Be", "Ru", "Pb"], "frac_coords": [[0.210, 0.210, 0.092], [0.790, 0.790, 0.908], [0.500, 0.500, 0.000], [0.000, 0.000, 0.500]], "magnetic_moment_mub_per_atom": 0.000, "e_above_lowest_polymorph_ev_per_fu": 0.72, "delta_e_f_ev_per_atom": 0.27}


4.
{"formula": "AcTlCd", "functional": "PBE", "state": "optimized geometry", "cell": [[0.000, 3.733, 3.733], [3.733, 0.000, 3.733], [3.733, 3.733, 0.000]], "species": ["Ac", "Tl", "Cd"], "frac_coords": [[0.000, 0.000, 0.000], [0.750, 0.750, 0.750], [0.500, 0.500, 0.500]], "magnetic_moment_mub_per_atom": 0.000, "e_above_lowest_polymorph_ev_per_fu": 0.33, "delta_e_f_ev_per_atom": -0.23}